First-principles (PBE) data for a relaxed Np2AlZn4Ga3 crystal, as listed in Alexandria via LeMat-Bulk.

```
data_Np2AlZn4Ga3
_chemical_formula_sum 'Np2 Al1 Zn4 Ga3'
_space_group_name_H-M_alt 'P 1'
_space_group_IT_number 1
_cell_length_a 4.148
_cell_length_b 4.148
_cell_length_c 10.749
_cell_angle_alpha 90.00
_cell_angle_beta 90.00
_cell_angle_gamma 90.00
loop_
_space_group_symop_operation_xyz
'x,y,z'
loop_
_atom_site_label
_atom_site_fract_x
_atom_site_fract_y
_atom_site_fract_z
_atom_site_occupancy
Np1 0.000 0.500 0.249 1
Np2 0.500 0.000 0.751 1
Al1 0.000 0.000 0.500 1
Zn1 0.000 0.000 0.000 1
Zn2 0.000 0.500 0.638 1
Zn3 0.500 0.000 0.362 1
Zn4 0.500 0.500 0.000 1
Ga1 0.000 0.500 0.862 1
Ga2 0.500 0.000 0.138 1
Ga3 0.500 0.500 0.500 1
```

DFT total energy (eV per atom): -4.464
D(E_F) (states/eV/cell): 19.06
Formation enthalpy at 0 K (eV per atom): -0.0844